Computed, not measured: a relaxed structure of RbOsWCl2 at the GGA-PBE level of DFT.

Computed properties:
DOS(E_F) ... 2.68 states/eV/f.u.
Volume ... 197.46 Å³/f.u.
Symmetry ... P4/mmm
Formation energy from raw total energies ... 2.47 eV/atom

Cell lengths 5.653, 6.179, 5.653 Å; angles 90.00, 90.00, 90.00 degrees
Last column: magnetic moment on the atom in μB.
Element x y z (fractional)
Os 0.500 0.500 0.500  3.29
Rb 0.000 0.000 0.000  0.05
W 0.000 0.500 0.000  3.49
Cl 0.000 0.000 0.500  0.11
Cl 0.500 0.000 0.000  0.09